# Rb2CeV2O6

A relaxed structure of Rb2CeV2O6 (GGA+U, Alexandria via LeMat-Bulk).

The value obtained for the calculated total energy is -75.889 eV per formula unit. As for the volume: 18.4 Å³/atom.

a b c (Å): 6.2336 6.2336 7.0010
angles (deg): 63.56 63.56 60.00
Last column: magnetic moment on the atom in μB.
Positions (direct):
Rb1 0.2172 0.2172 0.3484  0.00
Rb2 0.7828 0.7828 0.6516  0.00
O1 0.7514 0.2654 0.2319  -0.03
O2 0.2486 0.7346 0.7681  -0.03
O3 0.2654 0.7514 0.2319  -0.03
O4 0.7346 0.2486 0.7681  -0.03
O5 0.2486 0.2486 0.7681  -0.03
O6 0.7514 0.7514 0.2319  -0.03
V1 0.4305 0.4305 0.7084  0.68
V2 0.5695 0.5695 0.2916  0.68
Ce1 0.0000 0.0000 0.0000  0.57